Material: K2ZrCr
Method: DFT, PBE-GGA
State: relaxed

As for the offset from the most stable computed form: 506 meV/atom. For the total energy, the calculation gives -3.91 eV per atom. The value obtained for the energy of formation from the pure elements is 1.183 eV/atom.

It has space group Pmmm (No. 47), with a = 3.096 Å, b = 6.371 Å, c = 6.380 Å, α = 90.00°, β = 90.00° and γ = 90.00°. The distinct sites, in fractional coordinates, are K at (0.000, 0.000, 0.245), Zr at (0.500, 0.500, 0.500) and Cr at (0.500, 0.500, 0.000).